The following is a DFT calculation (PBE) of an optimized crystal structure of CrRePS2. Values from VASP.

Output
The calculation puts the magnetic moment at 0.30 μB/f.u. The total energy is -6.02 eV/atom. The uncorrected formation energy comes out at 1.130 eV per atom. The calculation puts the energy above the most stable polymorph in this dataset at 4.4 kJ per mole of atoms.

Structure (Quantum ESPRESSO input):
```
&SYSTEM
  ibrav = 0, nat = 5, ntyp = 4
/
ATOMIC_SPECIES
S 32.06 S.upf
Cr 52.00 Cr.upf
Re 186.21 Re.upf
P 30.97 P.upf
ATOMIC_POSITIONS crystal
S 0.000 0.500 0.000
Cr 0.500 0.500 0.500
Re 0.000 0.000 0.000
P 0.000 0.000 0.500
S 0.500 0.000 0.000
CELL_PARAMETERS angstrom
-3.867 -0.883 2.236
1.884 -3.743 1.780
1.565 2.555 3.716
```